# PBEsol BaGeI3, optimized geometry
# * uncorrected formation energy: -0.72 eV per atom
# * DOS(E_F): 3.165 states/eV/cell
# * distance to the lowest polymorph of the same formula: 0.000 eV per atom
data_BaGeI3
_space_group_name_H-M_alt 'P m -3 m'
_space_group_IT_number 221
_space_group_name_Hall '-P 4 2 3'
_cell_length_a 5.7768
_cell_length_b 5.7768
_cell_length_c 5.7768
_cell_angle_alpha 90.00
_cell_angle_beta 90.00
_cell_angle_gamma 90.00
loop_
_atom_site_label
_atom_site_type_symbol
_atom_site_fract_x
_atom_site_fract_y
_atom_site_fract_z
Ba1 Ba 0.0000 0.0000 0.0000
Ge1 Ge 0.5000 0.5000 0.5000
I1 I 0.0000 0.5000 0.5000

# PBEsol LiZrAg, optimized geometry
# * DFT formation energy: 55.91 kJ/mol of atoms
# * DOS(E_F): 19.190 states/eV/cell
# * distance to the lowest polymorph of the same formula: 0.526 eV per atom
data_LiZrAg
_space_group_name_H-M_alt 'F -4 3 m'
_space_group_IT_number 216
_space_group_name_Hall 'F -4 2 3'
_cell_length_a 6.0500
_cell_length_b 6.0500
_cell_length_c 6.0500
_cell_angle_alpha 90.00
_cell_angle_beta 90.00
_cell_angle_gamma 90.00
loop_
_atom_site_label
_atom_site_type_symbol
_atom_site_fract_x
_atom_site_fract_y
_atom_site_fract_z
Li1 Li 0.0000 0.0000 0.0000
Zr1 Zr 0.2500 0.2500 0.2500
Ag1 Ag 0.2500 0.2500 0.7500

# PBEsol Ca3CoSi, optimized geometry
# * uncorrected formation energy: 0.55 eV per atom
# * DOS(E_F): 12.062 states/eV/cell
data_Ca3CoSi
_space_group_name_H-M_alt 'P m -3 m'
_space_group_IT_number 221
_space_group_name_Hall '-P 4 2 3'
_cell_length_a 5.5204
_cell_length_b 5.5204
_cell_length_c 5.5204
_cell_angle_alpha 90.00
_cell_angle_beta 90.00
_cell_angle_gamma 90.00
loop_
_atom_site_label
_atom_site_type_symbol
_atom_site_fract_x
_atom_site_fract_y
_atom_site_fract_z
Ca1 Ca 0.0000 0.0000 0.5000
Co1 Co 0.5000 0.5000 0.5000
Si1 Si 0.0000 0.0000 0.0000

# PBEsol LaFeRu2, optimized geometry
# * DFT formation energy: 46.33 kJ/mol of atoms
# * DOS(E_F): 10.754 states/eV/cell
# * distance to the lowest polymorph of the same formula: 0.117 eV per atom
data_LaFeRu2
_space_group_name_H-M_alt 'I m m 2'
_space_group_IT_number 44
_cell_length_a 3.0447
_cell_length_b 4.6833
_cell_length_c 9.3833
_cell_angle_alpha 90.00
_cell_angle_beta 90.00
_cell_angle_gamma 90.00
loop_
_space_group_symop_operation_xyz
'x,y,z'
'-x,-y,z'
'-x,y,z'
'x,-y,z'
'x+1/2,y+1/2,z+1/2'
'-x+1/2,-y+1/2,z+1/2'
'-x+1/2,y+1/2,z+1/2'
'x+1/2,-y+1/2,z+1/2'
loop_
_atom_site_label
_atom_site_type_symbol
_atom_site_fract_x
_atom_site_fract_y
_atom_site_fract_z
La1 La 0.0000 0.0000 0.0000
Fe1 Fe 0.0000 0.5000 0.2247
Ru1 Ru 0.0000 0.0000 0.5081
Ru2 Ru 0.0000 0.5000 0.7724

# PBEsol HPd2F, optimized geometry
# * DOS(E_F): 19.331 states/eV/cell
# * DFT total energy: -4.069 eV/atom
data_HPd2F
_space_group_name_H-M_alt 'F m -3 m'
_space_group_IT_number 225
_space_group_name_Hall '-F 4 2 3'
_cell_length_a 5.5671
_cell_length_b 5.5671
_cell_length_c 5.5671
_cell_angle_alpha 90.00
_cell_angle_beta 90.00
_cell_angle_gamma 90.00
loop_
_atom_site_label
_atom_site_type_symbol
_atom_site_fract_x
_atom_site_fract_y
_atom_site_fract_z
H1 H 0.0000 0.0000 0.0000
Pd1 Pd 0.2500 0.2500 0.2500
F1 F 0.0000 0.0000 0.5000

# PBEsol RbHo2Cu3S5, optimized geometry
# * uncorrected formation energy: -1.29 eV per atom
data_RbHo2Cu3S5
_space_group_name_H-M_alt 'C m c m'
_space_group_IT_number 63
_space_group_name_Hall '-C 2c 2'
_cell_length_a 3.8727
_cell_length_b 13.6761
_cell_length_c 16.1591
_cell_angle_alpha 90.00
_cell_angle_beta 90.00
_cell_angle_gamma 90.00
loop_
_atom_site_label
_atom_site_type_symbol
_atom_site_fract_x
_atom_site_fract_y
_atom_site_fract_z
Rb1 Rb 0.0000 0.0652 0.2500
Ho1 Ho 0.0000 0.1924 0.5927
Cu1 Cu 0.0000 0.3466 0.2500
Cu2 Cu 0.0000 0.4151 0.5350
S1 S 0.0000 0.1665 0.0706
S2 S 0.0000 0.2398 0.7500
S3 S 0.0000 0.4400 0.1144

Repeat the second record exactly.
# PBEsol LiZrAg, optimized geometry
# * DFT formation energy: 55.91 kJ/mol of atoms
# * DOS(E_F): 19.190 states/eV/cell
# * distance to the lowest polymorph of the same formula: 0.526 eV per atom
data_LiZrAg
_space_group_name_H-M_alt 'F -4 3 m'
_space_group_IT_number 216
_space_group_name_Hall 'F -4 2 3'
_cell_length_a 6.0500
_cell_length_b 6.0500
_cell_length_c 6.0500
_cell_angle_alpha 90.00
_cell_angle_beta 90.00
_cell_angle_gamma 90.00
loop_
_atom_site_label
_atom_site_type_symbol
_atom_site_fract_x
_atom_site_fract_y
_atom_site_fract_z
Li1 Li 0.0000 0.0000 0.0000
Zr1 Zr 0.2500 0.2500 0.2500
Ag1 Ag 0.2500 0.2500 0.7500